# Ga3Ge, optimized geometry, DFT GGA-PBE
# **Energy of formation from the pure elements**: 0.1009 eV/atom
# **E_tot**: -13.29 eV for the cell shown
# **Excess energy over the best structure of this formula in the dataset**: 15 meV per atom
# **Spin magnetization**: 0.000 μB/f.u.
# **Crystal system**: cubic
data_Ga3Ge
_chemical_formula_sum 'Ga3 Ge1'
_cell_length_a 4.220
_cell_length_b 4.220
_cell_length_c 4.220
_cell_angle_alpha 90.00
_cell_angle_beta 90.00
_cell_angle_gamma 90.00
_symmetry_space_group_name_H-M 'P m -3 m'
_symmetry_Int_Tables_number 221
_symmetry_space_group_name_Hall '-P 4 2 3'
loop_
_atom_site_label
_atom_site_type_symbol
_atom_site_fract_x
_atom_site_fract_y
_atom_site_fract_z
Ga1 Ga 0.000 0.000 0.500
Ge1 Ge 0.500 0.500 0.500